[1]
The following is a DFT calculation (GGA-PBEsol) of a geometry-optimized PrZnNi structure.

Computed properties:
Spin magnetization = 0.00 μB per atom
Space-group type = P-62m (189)
E = -4.658 eV per atom

Cell: 3.840 7.084 7.084 Å, 120.00 90.00 90.00°
Element x y z (fractional)
Pr  0.500  0.414  0.414
Pr  0.500  0.000  0.586
Pr  0.500  0.586  0.000
Ni  0.000  0.667  0.333
Ni  0.000  0.333  0.667
Ni  0.500  0.000  0.000
Zn  0.000  0.767  0.767
Zn  0.000  0.233  0.000
Zn  0.000  0.000  0.233

[2]
The following is a DFT calculation (GGA-PBEsol) of a geometry-optimized NiPt5 structure.

Computed properties:
Spin magnetization = 0.20 μB per atom
Space-group type = P4/mmm (123)
E = -6.856 eV per atom

Cell: 2.743 2.743 11.375 Å, 90.00 90.00 90.00°
Site moments in Bohr magnetons follow the coordinates.
Element x y z (fractional)
Pt  0.000  0.000  0.350  0.21
Pt  0.000  0.000  0.650  0.21
Pt  0.500  0.500  0.826  0.07
Pt  0.500  0.500  0.174  0.07
Pt  0.000  0.000  0.000  0.04
Ni  0.500  0.500  0.500  0.62

[3]
The following is a DFT calculation (GGA-PBEsol) of a geometry-optimized Ni3Pt structure.

Computed properties:
Spin magnetization = 0.58 μB per atom
Space-group type = Imm2 (44)
E = -6.364 eV per atom

Cell: 2.609 4.356 4.850 Å, 116.69 105.60 90.00°
Site moments in Bohr magnetons follow the coordinates.
Element x y z (fractional)
Ni  0.754  0.760  0.508  0.73
Ni  0.246  0.253  0.492  0.73
Ni  0.500  0.162  0.000  0.60
Pt  0.000  0.659  0.000  0.31